NaZrTaCu2: relaxed, PBE.

Cell and atoms, written as POSCAR:
```
NaZrTaCu2
1.0
-2.816 -0.370 -3.725
-1.728 -4.302 1.733
-3.367 2.287 2.318
Cu Zr Ta Na
2 1 1 1
direct
0.000 0.000 0.500
0.500 0.000 0.000
0.500 0.500 0.500
0.000 0.000 0.000
0.000 0.500 0.000
```

Energy of formation: 7.52 eV per formula unit
Symmetry: No. 123
Fermi-level density of states: 6.49 states/eV/cell

NaTbCu: relaxed, PBE.

Cell and atoms, written as POSCAR:
```
NaTbCu
1.0
4.101 0.087 -0.032
0.067 4.101 -0.032
-1.982 -1.991 8.913
Na Cu Tb
2 2 2
direct
0.243 0.243 0.498
0.757 0.757 0.502
0.847 0.847 0.200
0.153 0.153 0.800
0.688 0.688 0.875
0.312 0.312 0.125
```

Energy of formation: 0.29 eV per formula unit
Symmetry: No. 12
Fermi-level density of states: 4.48 states/eV/cell

NaTbCu10: relaxed, PBE.

Cell and atoms, written as POSCAR:
```
NaTbCu10
1.0
4.057 0.000 0.000
0.000 5.024 0.000
0.000 0.000 8.693
Cu Na Tb
10 1 1
direct
0.500 0.246 0.246
0.500 0.754 0.754
0.000 0.000 0.336
0.000 0.500 0.828
0.500 0.000 0.500
0.500 0.754 0.246
0.000 0.500 0.172
0.000 0.000 0.664
0.500 0.246 0.754
0.500 0.500 0.000
0.000 0.500 0.500
0.000 0.000 0.000
```

Energy of formation: -0.68 eV per formula unit
Symmetry: No. 47
Fermi-level density of states: 5.39 states/eV/cell

NaTbCu4: relaxed, PBE.

Cell and atoms, written as POSCAR:
```
NaTbCu4
1.0
-2.943 -3.797 -1.922
2.158 -4.489 -1.401
-0.864 -4.269 2.793
Cu Na Tb
4 1 1
direct
0.122 0.626 0.626
0.626 0.122 0.626
0.626 0.626 0.626
0.626 0.626 0.122
0.000 0.000 0.000
0.250 0.250 0.250
```

Energy of formation: -0.20 eV per formula unit
Symmetry: No. 216
Fermi-level density of states: 8.52 states/eV/cell

NaTbCuTe2: relaxed, PBE.

Cell and atoms, written as POSCAR:
```
NaTbCuTe2
1.0
4.595 0.000 0.000
0.000 7.813 0.547
0.000 -1.775 8.112
Na Te Cu Tb
2 4 2 2
direct
0.174 0.500 0.750
0.826 0.500 0.250
0.305 0.731 0.466
0.695 0.269 0.534
0.305 0.269 0.034
0.695 0.731 0.966
0.000 0.000 0.500
0.000 0.000 0.000
0.505 0.000 0.750
0.495 0.000 0.250
```

Raw formation energy: -16.13 kcal/mol of atoms
Symmetry: No. 13
Fermi-level density of states: 4.02 states/eV/cell

NaTbTlCu: relaxed, PBE.

Cell and atoms, written as POSCAR:
```
NaTbTlCu
1.0
5.101 0.000 0.000
2.550 4.418 0.000
2.550 1.473 4.165
Cu Tl Na Tb
1 1 1 1
direct
0.500 0.500 0.500
0.000 0.000 0.000
0.250 0.250 0.250
0.750 0.750 0.750
```

Energy of formation: -0.08 eV per formula unit
Symmetry: No. 216
Fermi-level density of states: 3.22 states/eV/cell

NaCuTc3: relaxed, PBE.

Cell and atoms, written as POSCAR:
```
NaCuTc3
1.0
-2.014 -3.419 2.264
3.410 0.004 3.039
-2.277 3.030 2.550
Cu Tc Na
1 3 1
direct
0.000 0.000 0.000
0.500 0.000 0.000
0.000 0.500 0.000
0.000 0.000 0.500
0.500 0.500 0.500
```

Energy of formation: 9.03 eV per formula unit
Symmetry: No. 221
Energy above the most stable polymorph in this dataset: 0.0000 eV/atom
Fermi-level density of states: 8.09 states/eV/cell

NaCuTc3: relaxed, PBE.

Cell and atoms, written as POSCAR:
```
NaCuTc3
1.0
-1.512 3.269 -2.639
2.520 -1.539 -3.349
-3.361 -2.623 -1.324
Tc Cu Na
3 1 1
direct
0.000 0.000 0.500
0.500 0.000 0.000
0.000 0.500 0.000
0.500 0.500 0.500
0.000 0.000 0.000
```

Energy of formation: 13.54 eV per formula unit
Symmetry: No. 221
Energy above the most stable polymorph in this dataset: 0.9023 eV/atom
Fermi-level density of states: 6.94 states/eV/cell